No. 1
GdCuHg (PBE, optimized geometry); total magnetic moment = 7.62 μB/f.u.; crystal system = cubic; E_tot = -0.234 Ha/atom; calculated density = 9821 kg/m3
1.0
0.0000 3.2904 3.2904
3.2904 0.0000 3.2904
3.2904 3.2904 0.0000
Gd Cu Hg
1 1 1
direct
0.0000 0.0000 0.0000
0.7500 0.7500 0.7500
0.5000 0.5000 0.5000

***

No. 2
GdCuHg (PBE, optimized geometry); total magnetic moment = 7.14 μB/f.u.; crystal system = hexagonal; E_tot = -0.238 Ha/atom; calculated density = 10667 kg/m3
1.0
4.6690 0.0000 0.0000
-2.3345 4.0435 0.0000
0.0000 0.0000 3.4747
Gd Cu Hg
1 1 1
direct
0.0000 0.0000 0.0000
0.3333 0.6667 0.5000
0.6667 0.3333 0.5000

***

No. 3
Gd2CuHg (PBE, optimized geometry); total magnetic moment = 14.60 μB/f.u.; crystal system = tetragonal; E_tot = -0.312 Ha/atom; calculated density = 9960 kg/m3; energy relative to the lowest polymorph listed for this composition = 0.000 eV per atom
1.0
3.5716 0.0000 0.0000
0.0000 3.5716 0.0000
0.0000 0.0000 7.5624
Gd Cu Hg
2 1 1
direct
0.0000 0.0000 0.2271
0.0000 0.0000 0.7729
0.5000 0.5000 0.0000
0.5000 0.5000 0.5000

***

No. 4
Gd2CuHg (PBE, optimized geometry); total magnetic moment = 15.79 μB/f.u.; crystal system = trigonal; E_tot = -0.295 Ha/atom; calculated density = 7948 kg/m3; energy relative to the lowest polymorph listed for this composition = 0.464 eV per atom
1.0
1.8638 1.0761 10.0464
-1.8638 1.0761 10.0464
0.0000 -2.1521 10.0464
Gd Cu Hg
2 1 1
direct
0.1053 0.1053 0.1053
0.8947 0.8947 0.8947
0.5000 0.5000 0.5000
0.0000 0.0000 0.0000

***

No. 5
GdCuHg (PBE, optimized geometry); total magnetic moment = 7.05 μB/f.u.; crystal system = tetragonal; E_tot = -0.235 Ha/atom; calculated density = 10717 kg/m3
1.0
-1.8393 1.8393 4.8252
1.8393 -1.8393 4.8252
1.8393 1.8393 -4.8252
Gd Cu Hg
1 1 1
direct
0.0000 0.0000 0.0000
0.3297 0.3297 0.0000
0.6855 0.6855 0.0000

***

No. 6
Gd2CuHg (PBE, optimized geometry); total magnetic moment = 14.43 μB/f.u.; crystal system = cubic; E_tot = -0.311 Ha/atom; calculated density = 9848 kg/m3; energy relative to the lowest polymorph listed for this composition = 0.027 eV per atom
1.0
0.0000 3.6539 3.6539
3.6539 0.0000 3.6539
3.6539 3.6539 0.0000
Gd Cu Hg
2 1 1
direct
0.2500 0.2500 0.2500
0.7500 0.7500 0.7500
0.0000 0.0000 0.0000
0.5000 0.5000 0.5000

***

No. 7
GdHoCuHg (PBE, optimized geometry); total magnetic moment = 7.09 μB/f.u.; crystal system = cubic; E_tot = -0.224 Ha/atom; calculated density = 10214 kg/m3
1.0
0.0000 3.6257 3.6257
3.6257 0.0000 3.6257
3.6257 3.6257 0.0000
Gd Ho Cu Hg
1 1 1 1
direct
0.0000 0.0000 0.0000
0.5000 0.5000 0.5000
0.2500 0.2500 0.2500
0.7500 0.7500 0.7500

***

No. 8
NdGdCuHg (PBE, optimized geometry); total magnetic moment = 7.40 μB/f.u.; crystal system = cubic; E_tot = -0.225 Ha/atom; calculated density = 9344 kg/m3
1.0
0.0000 3.6904 3.6904
3.6904 0.0000 3.6904
3.6904 3.6904 0.0000
Nd Gd Cu Hg
1 1 1 1
direct
0.0000 0.0000 0.0000
0.5000 0.5000 0.5000
0.7500 0.7500 0.7500
0.2500 0.2500 0.2500

***

Repeat the third record exactly.
Gd2CuHg (PBE, optimized geometry); total magnetic moment = 14.60 μB/f.u.; crystal system = tetragonal; E_tot = -0.312 Ha/atom; calculated density = 9960 kg/m3; energy relative to the lowest polymorph listed for this composition = 0.000 eV per atom
1.0
3.5716 0.0000 0.0000
0.0000 3.5716 0.0000
0.0000 0.0000 7.5624
Gd Cu Hg
2 1 1
direct
0.0000 0.0000 0.2271
0.0000 0.0000 0.7729
0.5000 0.5000 0.0000
0.5000 0.5000 0.5000

***

Question: What is the formula in the second record?
Answer: GdCuHg

***

Question: What is the E_tot in the eighth record?
Answer: -0.225 Ha/atom